NaCaAg2Cl8 after structural relaxation. Source: Alexandria via LeMat-Bulk, functional GGA-PBE.

Calculated values
Crystal system ... tetragonal
ΔE_f (raw) ... -0.94 eV/atom
N(E_F) ... 0.552 states/eV/atom
Electronic total energy ... -2.921 eV per atom

```
data_NaCaAg2Cl8
_chemical_formula_sum 'Na1 Ca1 Ag2 Cl8'
_space_group_name_H-M_alt 'P 1'
_space_group_IT_number 1
_cell_length_a 8.3134
_cell_length_b 8.3134
_cell_length_c 8.3134
_cell_angle_alpha 131.77
_cell_angle_beta 131.77
_cell_angle_gamma 70.59
loop_
_space_group_symop_operation_xyz
'x,y,z'
loop_
_atom_site_label
_atom_site_fract_x
_atom_site_fract_y
_atom_site_fract_z
_atom_site_occupancy
Na1 0.0000 0.0000 0.0000 1
Ca1 0.2500 0.7500 0.5000 1
Ag1 0.5000 0.5000 0.0000 1
Ag2 0.7500 0.2500 0.5000 1
Cl1 0.0016 0.3597 0.9656 1
Cl2 0.2432 0.4035 0.5480 1
Cl3 0.3048 0.7568 0.1604 1
Cl4 0.3942 0.0360 0.0344 1
Cl5 0.5965 0.1444 0.8396 1
Cl6 0.6403 0.6058 0.6419 1
Cl7 0.8556 0.6952 0.4520 1
Cl8 0.9640 0.9984 0.3581 1
```



Na2CaAg2Cl6 after structural relaxation. Source: Alexandria via LeMat-Bulk, functional GGA-PBE.

Calculated values
Crystal system ... monoclinic
ΔE_f (raw) ... -1.45 eV/atom
N(E_F) ... 0.000 states/eV/atom
Electronic total energy ... -3.400 eV per atom

```
data_Na2CaAg2Cl6
_chemical_formula_sum 'Na2 Ca1 Ag2 Cl6'
_space_group_name_H-M_alt 'P 1'
_space_group_IT_number 1
_cell_length_a 7.1095
_cell_length_b 7.1095
_cell_length_c 6.7425
_cell_angle_alpha 95.83
_cell_angle_beta 95.83
_cell_angle_gamma 119.95
loop_
_space_group_symop_operation_xyz
'x,y,z'
loop_
_atom_site_label
_atom_site_fract_x
_atom_site_fract_y
_atom_site_fract_z
_atom_site_occupancy
Na1 0.1631 0.8369 0.0000 1
Na2 0.8369 0.1631 0.0000 1
Ca1 0.5000 0.5000 0.0000 1
Ag1 0.3651 0.6349 0.5000 1
Ag2 0.6349 0.3651 0.5000 1
Cl1 0.1383 0.4700 0.7673 1
Cl2 0.2257 0.2257 0.2279 1
Cl3 0.4700 0.1383 0.7673 1
Cl4 0.5300 0.8617 0.2327 1
Cl5 0.7743 0.7743 0.7721 1
Cl6 0.8617 0.5300 0.2327 1
```



CaNb2AgCl after structural relaxation. Source: Alexandria via LeMat-Bulk, functional GGA-PBE.

Calculated values
Crystal system ... tetragonal
ΔE_f (raw) ... 0.45 eV/atom
N(E_F) ... 0.500 states/eV/atom
Electronic total energy ... -4.917 eV per atom

```
data_CaNb2AgCl
_chemical_formula_sum 'Ca1 Nb2 Ag1 Cl1'
_space_group_name_H-M_alt 'P 1'
_space_group_IT_number 1
_cell_length_a 4.5912
_cell_length_b 4.5912
_cell_length_c 5.1893
_cell_angle_alpha 90.00
_cell_angle_beta 90.00
_cell_angle_gamma 90.00
loop_
_space_group_symop_operation_xyz
'x,y,z'
loop_
_atom_site_label
_atom_site_fract_x
_atom_site_fract_y
_atom_site_fract_z
_atom_site_occupancy
Ca1 0.0000 0.0000 0.0000 1
Nb1 0.0000 0.5000 0.5000 1
Nb2 0.5000 0.0000 0.5000 1
Ag1 0.5000 0.5000 0.0000 1
Cl1 0.0000 0.0000 0.5000 1
```



CaNiAgCl6 after structural relaxation. Source: Alexandria via LeMat-Bulk, functional GGA-PBE.

Calculated values
Crystal system ... trigonal
ΔE_f (raw) ... -1.07 eV/atom
N(E_F) ... 0.321 states/eV/atom
Electronic total energy ... -3.481 eV per atom

```
data_CaNiAgCl6
_chemical_formula_sum 'Ca2 Ni2 Ag2 Cl12'
_space_group_name_H-M_alt 'P 1'
_space_group_IT_number 1
_cell_length_a 6.5174
_cell_length_b 6.5174
_cell_length_c 11.5402
_cell_angle_alpha 90.00
_cell_angle_beta 90.00
_cell_angle_gamma 120.00
loop_
_space_group_symop_operation_xyz
'x,y,z'
loop_
_atom_site_label
_atom_site_fract_x
_atom_site_fract_y
_atom_site_fract_z
_atom_site_occupancy
Ca1 0.3333 0.6667 0.2500 1
Ca2 0.6667 0.3333 0.7500 1
Ni1 0.3333 0.6667 0.7500 1
Ni2 0.6667 0.3333 0.2500 1
Ag1 0.0000 0.0000 0.0000 1
Ag2 0.0000 0.0000 0.5000 1
Cl1 0.0471 0.3702 0.6304 1
Cl2 0.0471 0.6768 0.8696 1
Cl3 0.3232 0.3702 0.8696 1
Cl4 0.3232 0.9529 0.6304 1
Cl5 0.3702 0.0471 0.1304 1
Cl6 0.3702 0.3232 0.3696 1
Cl7 0.6298 0.6768 0.6304 1
Cl8 0.6298 0.9529 0.8696 1
Cl9 0.6768 0.0471 0.3696 1
Cl10 0.6768 0.6298 0.1304 1
Cl11 0.9529 0.3232 0.1304 1
Cl12 0.9529 0.6298 0.3696 1
```



CaNpAgCl6 after structural relaxation. Source: Alexandria via LeMat-Bulk, functional GGA-PBE.

Calculated values
Crystal system ... trigonal
ΔE_f (raw) ... -1.63 eV/atom
N(E_F) ... 0.929 states/eV/atom
Electronic total energy ... -4.834 eV per atom

```
data_CaNpAgCl6
_chemical_formula_sum 'Ca2 Np2 Ag2 Cl12'
_space_group_name_H-M_alt 'P 1'
_space_group_IT_number 1
_cell_length_a 7.0337
_cell_length_b 7.0337
_cell_length_c 12.0777
_cell_angle_alpha 90.00
_cell_angle_beta 90.00
_cell_angle_gamma 120.00
loop_
_space_group_symop_operation_xyz
'x,y,z'
loop_
_atom_site_label
_atom_site_fract_x
_atom_site_fract_y
_atom_site_fract_z
_atom_site_occupancy
Ca1 0.3333 0.6667 0.2500 1
Ca2 0.6667 0.3333 0.7500 1
Np1 0.3333 0.6667 0.7500 1
Np2 0.6667 0.3333 0.2500 1
Ag1 0.0000 0.0000 0.0000 1
Ag2 0.0000 0.0000 0.5000 1
Cl1 0.0017 0.3424 0.6274 1
Cl2 0.0017 0.6594 0.8726 1
Cl3 0.3406 0.3424 0.8726 1
Cl4 0.3406 0.9983 0.6274 1
Cl5 0.3424 0.0017 0.1274 1
Cl6 0.3424 0.3406 0.3726 1
Cl7 0.6576 0.6594 0.6274 1
Cl8 0.6576 0.9983 0.8726 1
Cl9 0.6594 0.0017 0.3726 1
Cl10 0.6594 0.6576 0.1274 1
Cl11 0.9983 0.3406 0.1274 1
Cl12 0.9983 0.6576 0.3726 1
```



Ca2AgOsCl after structural relaxation. Source: Alexandria via LeMat-Bulk, functional GGA-PBE.

Calculated values
Crystal system ... tetragonal
ΔE_f (raw) ... 0.19 eV/atom
N(E_F) ... 0.550 states/eV/atom
Electronic total energy ... -3.794 eV per atom

```
data_Ca2AgOsCl
_chemical_formula_sum 'Ca2 Ag1 Os1 Cl1'
_space_group_name_H-M_alt 'P 1'
_space_group_IT_number 1
_cell_length_a 5.6256
_cell_length_b 5.6256
_cell_length_c 4.4534
_cell_angle_alpha 90.00
_cell_angle_beta 90.00
_cell_angle_gamma 90.00
loop_
_space_group_symop_operation_xyz
'x,y,z'
loop_
_atom_site_label
_atom_site_fract_x
_atom_site_fract_y
_atom_site_fract_z
_atom_site_occupancy
Ca1 0.0000 0.5000 0.0000 1
Ca2 0.5000 0.0000 0.0000 1
Ag1 0.0000 0.0000 0.5000 1
Os1 0.5000 0.5000 0.0000 1
Cl1 0.5000 0.5000 0.5000 1
```



CaAgPCl2 after structural relaxation. Source: Alexandria via LeMat-Bulk, functional GGA-PBE.

Calculated values
Crystal system ... tetragonal
ΔE_f (raw) ... -0.42 eV/atom
N(E_F) ... 0.547 states/eV/atom
Electronic total energy ... -3.209 eV per atom
Relative energy among the computed polymorphs ... 0 meV per atom

```
data_CaAgPCl2
_chemical_formula_sum 'Ca1 Ag1 P1 Cl2'
_space_group_name_H-M_alt 'P 1'
_space_group_IT_number 1
_cell_length_a 5.1010
_cell_length_b 5.1010
_cell_length_c 4.9351
_cell_angle_alpha 90.00
_cell_angle_beta 90.00
_cell_angle_gamma 90.00
loop_
_space_group_symop_operation_xyz
'x,y,z'
loop_
_atom_site_label
_atom_site_fract_x
_atom_site_fract_y
_atom_site_fract_z
_atom_site_occupancy
Ca1 0.0000 0.0000 0.0000 1
Ag1 0.5000 0.5000 0.5000 1
P1 0.5000 0.5000 0.0000 1
Cl1 0.0000 0.5000 0.5000 1
Cl2 0.5000 0.0000 0.5000 1
```



CaAgPCl2 after structural relaxation. Source: Alexandria via LeMat-Bulk, functional GGA-PBE.

Calculated values
Crystal system ... tetragonal
ΔE_f (raw) ... -0.37 eV/atom
N(E_F) ... 0.389 states/eV/atom
Electronic total energy ... -3.159 eV per atom
Relative energy among the computed polymorphs ... 49 meV per atom

```
data_CaAgPCl2
_chemical_formula_sum 'Ca1 Ag1 P1 Cl2'
_space_group_name_H-M_alt 'P 1'
_space_group_IT_number 1
_cell_length_a 5.2069
_cell_length_b 5.2069
_cell_length_c 5.8437
_cell_angle_alpha 90.00
_cell_angle_beta 90.00
_cell_angle_gamma 90.00
loop_
_space_group_symop_operation_xyz
'x,y,z'
loop_
_atom_site_label
_atom_site_fract_x
_atom_site_fract_y
_atom_site_fract_z
_atom_site_occupancy
Ca1 0.0000 0.0000 0.0000 1
Ag1 0.5000 0.5000 0.5000 1
P1 0.0000 0.0000 0.5000 1
Cl1 0.0000 0.5000 0.0000 1
Cl2 0.5000 0.0000 0.0000 1
```



CaAg2PbCl8 after structural relaxation. Source: Alexandria via LeMat-Bulk, functional GGA-PBE.

Calculated values
Crystal system ... monoclinic
ΔE_f (raw) ... -1.01 eV/atom
N(E_F) ... 0.578 states/eV/atom
Electronic total energy ... -3.193 eV per atom

```
data_CaAg2PbCl8
_chemical_formula_sum 'Ca1 Ag2 Pb1 Cl8'
_space_group_name_H-M_alt 'P 1'
_space_group_IT_number 1
_cell_length_a 6.4840
_cell_length_b 8.0084
_cell_length_c 6.5839
_cell_angle_alpha 90.00
_cell_angle_beta 94.52
_cell_angle_gamma 90.00
loop_
_space_group_symop_operation_xyz
'x,y,z'
loop_
_atom_site_label
_atom_site_fract_x
_atom_site_fract_y
_atom_site_fract_z
_atom_site_occupancy
Ca1 0.0000 0.0000 0.0000 1
Ag1 0.5000 0.2497 0.5000 1
Ag2 0.5000 0.7503 0.5000 1
Pb1 0.0000 0.5000 0.0000 1
Cl1 0.2039 0.2527 0.8149 1
Cl2 0.2039 0.7473 0.8149 1
Cl3 0.3041 0.0000 0.3223 1
Cl4 0.3057 0.5000 0.3206 1
Cl5 0.6943 0.5000 0.6794 1
Cl6 0.6959 0.0000 0.6777 1
Cl7 0.7961 0.2527 0.1851 1
Cl8 0.7961 0.7473 0.1851 1
```



CaAgPdCl6 after structural relaxation. Source: Alexandria via LeMat-Bulk, functional GGA-PBE.

Calculated values
Crystal system ... trigonal
ΔE_f (raw) ... -1.04 eV/atom
N(E_F) ... 0.366 states/eV/atom
Electronic total energy ... -3.384 eV per atom

```
data_CaAgPdCl6
_chemical_formula_sum 'Ca2 Ag2 Pd2 Cl12'
_space_group_name_H-M_alt 'P 1'
_space_group_IT_number 1
_cell_length_a 6.5906
_cell_length_b 6.5906
_cell_length_c 11.8430
_cell_angle_alpha 90.00
_cell_angle_beta 90.00
_cell_angle_gamma 120.00
loop_
_space_group_symop_operation_xyz
'x,y,z'
loop_
_atom_site_label
_atom_site_fract_x
_atom_site_fract_y
_atom_site_fract_z
_atom_site_occupancy
Ca1 0.3333 0.6667 0.2500 1
Ca2 0.6667 0.3333 0.7500 1
Ag1 0.0000 0.0000 0.0000 1
Ag2 0.0000 0.0000 0.5000 1
Pd1 0.3333 0.6667 0.7500 1
Pd2 0.6667 0.3333 0.2500 1
Cl1 0.0353 0.3603 0.6283 1
Cl2 0.0353 0.6750 0.8717 1
Cl3 0.3250 0.3603 0.8717 1
Cl4 0.3250 0.9647 0.6283 1
Cl5 0.3603 0.0353 0.1283 1
Cl6 0.3603 0.3250 0.3717 1
Cl7 0.6397 0.6750 0.6283 1
Cl8 0.6397 0.9647 0.8717 1
Cl9 0.6750 0.0353 0.3717 1
Cl10 0.6750 0.6397 0.1283 1
Cl11 0.9647 0.3250 0.1283 1
Cl12 0.9647 0.6397 0.3717 1
```



- The highest electronic total energy belongs to which entry?
  NaCaAg2Cl8